Record 1
DFT (PBE) results for crystalline TlW at its relaxed geometry.

Cell and atoms, written as POSCAR:
```
TlW
1.0
-4.337 2.900 0.244
-4.000 -2.639 -2.076
3.539 -1.299 3.614
Tl W
2 2
Direct
0.000 0.000 0.000
0.250 0.750 0.500
0.500 0.500 0.000
0.750 0.250 0.500
```

Computed properties:
* formation enthalpy at 0 K: 2.44 eV per formula unit

***

Record 2
DFT (PBE) results for crystalline Nd3DyTl3 at its relaxed geometry.

Cell and atoms, written as POSCAR:
```
Nd3DyTl3
1.0
6.832 0.706 0.251
-2.412 6.431 0.251
-0.444 -0.718 9.709
Nd Dy Tl
6 2 6
Direct
0.589 0.589 0.316
0.180 0.820 0.500
0.820 0.180 0.500
0.240 0.760 0.000
0.760 0.240 0.000
0.411 0.411 0.684
0.723 0.723 0.956
0.277 0.277 0.044
0.967 0.967 0.231
0.948 0.520 0.737
0.520 0.948 0.737
0.052 0.480 0.263
0.480 0.052 0.263
0.033 0.033 0.769
```

Computed properties:
* formation enthalpy at 0 K: -1.43 eV per formula unit

***

Calculated volume per entry: 19.31, 31.82 Å³/atom
Calculated density per entry: 16696, 9010 kg/m3